Entry 1:
PBE RbVSe, relaxed; symmetry = P4/nmm (129); DOS(E_F) = 0.20 states/eV/cell; E_tot = -5.10 eV per atom; E_form (uncorrected) = -0.58 eV/atom; energy above the most stable polymorph in this dataset = 0.00 eV per formula unit
1.0
-2.006 -1.517 -2.843
3.177 -0.367 -2.045
1.719 -10.977 4.643
Rb Se V
2 2 2
Cartesian
-0.681 -2.812 -0.553
2.986 -9.108 2.752
0.095 -7.769 1.544
2.209 -4.150 0.655
1.445 -6.431 -0.122
0.860 -5.489 2.322

***

Entry 2:
PBE CePuIrI, relaxed; symmetry = R3m (160); DOS(E_F) = 14.80 states/eV/cell; E_tot = -8.43 eV per atom; E_form (uncorrected) = -0.76 eV/atom
1.0
4.101 0.000 0.000
-2.050 3.552 0.000
-2.051 -1.183 8.053
I Pu Ir Ce
1 1 1 1
Cartesian
2.439 0.925 2.944
-1.663 3.292 0.433
-1.663 0.925 6.997
0.387 -0.260 5.488

***

What did the first record say?
PBE RbVSe, relaxed; symmetry = P4/nmm (129); DOS(E_F) = 0.20 states/eV/cell; E_tot = -5.10 eV per atom; E_form (uncorrected) = -0.58 eV/atom; energy above the most stable polymorph in this dataset = 0.00 eV per formula unit
1.0
-2.006 -1.517 -2.843
3.177 -0.367 -2.045
1.719 -10.977 4.643
Rb Se V
2 2 2
Cartesian
-0.681 -2.812 -0.553
2.986 -9.108 2.752
0.095 -7.769 1.544
2.209 -4.150 0.655
1.445 -6.431 -0.122
0.860 -5.489 2.322